# VB2Rh | Alexandria via LeMat-Bulk | PBE | optimized geometry
data_VB2Rh
_cell_length_a 3.820
_cell_length_b 3.820
_cell_length_c 3.820
_cell_angle_alpha 60.00
_cell_angle_beta 60.00
_cell_angle_gamma 60.00
_space_group_name_H-M_alt 'P 1'
_space_group_IT_number 1
_space_group_name_Hall 'P 1'
loop_
_atom_site_label
_atom_site_fract_x
_atom_site_fract_y
_atom_site_fract_z
V1 0.000 0.000 0.000
B1 0.250 0.250 0.250
B2 0.750 0.750 0.750
Rh1 0.500 0.500 0.500
# DOS at the Fermi energy (states/eV/atom): 0.413
# Energy relative to the lowest polymorph listed for this composition (eV per atom): 0.227
# Crystal system: cubic